(1)
The following is a PBE calculation of a relaxed structure of Ca4Ag2F, from the Alexandria database.

**Space-group type**: I4/mmm
**Formation energy (no corrections)**: -0.936 eV per atom

```
7
Lattice="4.696 0.000 0.000 0.000 4.696 0.000 -2.348 -2.348 8.530" Properties=species:S:1:pos:R:3 pbc="T T T"
Ca 2.348 2.348 5.345
Ca 0.000 0.000 3.185
Ca 0.000 2.348 0.000
Ca 2.348 0.000 0.000
Ag 2.348 2.348 2.202
Ag 0.000 0.000 6.328
F 0.000 0.000 0.000
```


(2)
The following is a PBE calculation of a relaxed structure of Dy2GaCuS5, from the Alexandria database.

**Space-group type**: Cmc2_1
**Formation energy (no corrections)**: -1.330 eV per atom

```
18
Lattice="-3.409 -1.163 1.130 5.406 -3.473 6.428 -1.147 9.041 5.849" Properties=species:S:1:pos:R:3 pbc="T T T"
Dy 0.233 3.464 10.576
Dy -0.013 5.250 5.367
Dy 0.520 1.705 3.326
Dy 1.041 -2.245 7.135
Ga -2.123 7.405 7.524
Ga 2.476 0.923 8.421
Cu -0.586 2.934 7.557
Cu 1.761 -1.081 4.199
S 1.523 6.025 10.798
S -1.288 5.299 7.877
S -2.583 6.485 5.191
S 1.585 3.255 8.132
S 1.063 0.714 10.249
S -1.219 2.687 5.396
S 1.992 0.263 6.279
S 3.355 -1.463 8.616
S -0.484 -0.820 4.001
S 0.233 0.180 0.888
```


(3)
The following is a PBE calculation of a relaxed structure of CaCoAu2, from the Alexandria database.

**Space-group type**: Pmmm
**E_form**: -0.15 eV per atom
**ΔE to the lowest computed polymorph**: 55 meV/atom

```
4
Lattice="-0.514 1.858 2.612 -3.043 -1.632 0.562 3.117 -4.497 3.811" Properties=species:S:1:pos:R:3 pbc="T T T"
Co 0.559 -3.260 4.446
Ca -0.999 -1.011 2.540
Au 2.988 -4.310 3.653
Au 1.687 -2.434 2.063
```


(4)
The following is a PBE calculation of a relaxed structure of LiTbPuRh, from the Alexandria database.

**Space-group type**: F-43m
**E_form**: -0.26 eV per atom

```
4
Lattice="-3.305 -0.690 -3.604 -2.005 -4.459 -0.690 -4.747 -0.772 1.118" Properties=species:S:1:pos:R:3 pbc="T T T"
Rh -7.543 -4.441 -2.382
Li -2.514 -1.480 -0.794
Tb 0.000 0.000 0.000
Pu -5.029 -2.961 -1.588
```


no.,total energy (eV per atom)
1,-3.162
2,-5.437
3,-4.061
4,-7.321